DFT (PBE+U) results for a relaxed structure of CaPmNiO4.

Cell: 6.5675 6.5675 6.5675 Å, 146.56 146.56 48.01°
Positions (direct):
Ca 0.0000 0.0000 0.0000
Pm 0.7204 0.7204 0.0000
Ni 0.3642 0.3642 0.0000
O 0.1912 0.1912 0.0000
O 0.3553 0.8553 0.5000
O 0.5313 0.5313 0.0000
O 0.8553 0.3553 0.5000

Results
DOS at the Fermi energy = 0.52 states/eV per cell
symmetry = I4mm (107)
electronic total energy = -6.491 eV per atom